Entry from Alexandria: BiSCl3 after structural relaxation (PBE).

Results
DOS at the Fermi energy = 1.643 states/eV per atom
E_form (uncorrected) = -0.100 eV per atom

Geometry as POSCAR:
```
BiSCl3
1.0
5.4359 0.0000 0.0000
0.0000 5.4359 0.0000
0.0000 0.0000 5.4359
Bi S Cl
1 1 3
Direct
0.0000 0.0000 0.0000 Bi
0.5000 0.5000 0.5000 S
0.0000 0.0000 0.5000 Cl
0.0000 0.5000 0.0000 Cl
0.5000 0.0000 0.0000 Cl
```